Entry 1:
Computed, not measured: an optimized crystal structure of Sm4CI2N at the PBE level of DFT.

Unit cell a=6.5864 b=3.8046 c=7.9102 alpha=90.00 beta=106.24 gamma=90.00
Last column: nearest neighbours and their distance in Å.
Element x y z (fractional)
Sm (0.2211, 0.0000, 0.1683)  2 N 2.54, 1 C 2.55
Sm (0.2735, 0.5000, 0.8299)  1 N 2.53, 2 C 2.56
Sm (0.7265, 0.5000, 0.1701)  1 N 2.53, 2 C 2.56
Sm (0.7789, 0.0000, 0.8317)  2 N 2.54, 1 C 2.55
C (0.5000, 0.0000, 0.0000)  6 Sm 2.55-2.56
I (0.0000, 0.0000, 0.5000)  6 Sm 3.32-3.34
I (0.5000, 0.5000, 0.5000)  6 Sm 3.34-3.35
N (0.0000, 0.5000, 0.0000)  6 Sm 2.53-2.54

Summary:
Volume, Å³/cell: 190
Total energy, eV/atom: -5.9170
Formation energy without anion corrections, eV/atom: -0.976
Total magnetic moment, μB/f.u.: 0.000



Entry 2:
Computed, not measured: an optimized crystal structure of Sm8C3I4N at the PBE level of DFT.

Unit cell a=7.6512 b=7.6512 c=8.8136 alpha=115.74 beta=115.74 gamma=59.94
Last column: nearest neighbours and their distance in Å.
Element x y z (fractional)
Sm (0.2225, 0.7250, 0.6700)  1 N 2.55, 2 C 2.56-2.57
Sm (0.2225, 0.2225, 0.6700)  1 N 2.55, 2 C 2.56
Sm (0.2750, 0.7775, 0.3300)  1 N 2.55, 2 C 2.56-2.57
Sm (0.2759, 0.2759, 0.3279)  3 C 2.57
Sm (0.7241, 0.7241, 0.6721)  3 C 2.57
Sm (0.7250, 0.2225, 0.6700)  1 N 2.55, 2 C 2.56-2.57
Sm (0.7775, 0.7775, 0.3300)  1 N 2.55, 2 C 2.56
Sm (0.7775, 0.2750, 0.3300)  1 N 2.55, 2 C 2.56-2.57
C (0.0000, 0.5000, 0.5000)  6 Sm 2.56-2.57
C (0.5000, 0.0000, 0.5000)  6 Sm 2.56-2.57
C (0.5000, 0.5000, 0.5000)  6 Sm 2.56-2.57
I (0.0000, 0.0000, 0.0000)  6 Sm 3.34
I (0.0000, 0.5000, 0.0000)  6 Sm 3.34
I (0.5000, 0.0000, 0.0000)  6 Sm 3.34
I (0.5000, 0.5000, 0.0000)  6 Sm 3.35-3.36
N (0.0000, 0.0000, 0.5000)  6 Sm 2.55

Summary:
Volume, Å³/cell: 386
Total energy, eV/atom: -5.8432
Formation energy without anion corrections, eV/atom: -0.846
Total magnetic moment, μB/f.u.: 0.000



Entry 3:
Computed, not measured: an optimized crystal structure of SnCI3N at the PBE level of DFT.

Unit cell a=5.7516 b=5.7516 c=7.2737 alpha=90.00 beta=90.00 gamma=90.00
Last column: nearest neighbours and their distance in Å.
Element x y z (fractional)
Sn (0.0000, 0.0000, 0.0000)  1 I 2.69
C (0.5000, 0.5000, 0.3476)  1 N 1.18
I (0.0000, 0.0000, 0.6308)  1 Sn 2.69
I (0.0000, 0.5000, 0.1266)  2 Sn 3.02, 2 C 3.29
I (0.5000, 0.0000, 0.1266)  2 Sn 3.02, 2 C 3.29
N (0.5000, 0.5000, 0.5096)  1 C 1.18

Summary:
Volume, Å³/cell: 241
Total energy, eV/atom: -3.8790
Formation energy without anion corrections, eV/atom: 0.488
Total magnetic moment, μB/f.u.: 0.818



Entry 4:
Computed, not measured: an optimized crystal structure of SnCIN2 at the PBE level of DFT.

Unit cell a=3.9474 b=3.9474 c=7.7025 alpha=90.00 beta=90.00 gamma=90.00
Last column: nearest neighbours and their distance in Å.
Element x y z (fractional)
Sn (0.0000, 0.0000, 0.0000)  4 N 1.97
C (0.5000, 0.5000, 0.5000)  4 I 2.79
I (0.0000, 0.0000, 0.5000)  4 C 2.79
N (0.0000, 0.5000, 0.0000)  2 Sn 1.97
N (0.5000, 0.0000, 0.0000)  2 Sn 1.97

Summary:
Volume, Å³/cell: 120
Total energy, eV/atom: -3.8859
ΔE to the lowest computed polymorph, meV per atom: 0
Formation energy without anion corrections, eV/atom: 2.400
Total magnetic moment, μB/f.u.: 1.092



Entry 5:
Computed, not measured: an optimized crystal structure of SnCIN2 at the PBE level of DFT.

Unit cell a=4.1310 b=4.1310 c=4.3827 alpha=90.00 beta=90.00 gamma=90.00
Last column: nearest neighbours and their distance in Å.
Element x y z (fractional)
Sn (0.0000, 0.0000, 0.0000)  4 I 2.92, 8 N 3.01
C (0.5000, 0.5000, 0.5000)  4 N 2.07, 2 I 2.19
I (0.5000, 0.5000, 0.0000)  2 C 2.19
N (0.0000, 0.5000, 0.5000)  2 C 2.07
N (0.5000, 0.0000, 0.5000)  2 C 2.07

Summary:
Volume, Å³/cell: 75
Total energy, eV/atom: -3.7970
ΔE to the lowest computed polymorph, meV per atom: 89
Formation energy without anion corrections, eV/atom: 2.489
Total magnetic moment, μB/f.u.: 1.421



Entry 6:
Computed, not measured: an optimized crystal structure of SrCIN2 at the PBE level of DFT.

Unit cell a=4.3228 b=4.3228 c=4.4740 alpha=90.00 beta=90.00 gamma=90.00
Last column: nearest neighbours and their distance in Å.
Element x y z (fractional)
Sr (0.0000, 0.0000, 0.0000)  4 I 3.06, 8 N 3.11
C (0.5000, 0.5000, 0.5000)  4 N 2.16, 2 I 2.24
I (0.5000, 0.5000, 0.0000)  2 C 2.24
N (0.0000, 0.5000, 0.5000)  2 C 2.16
N (0.5000, 0.0000, 0.5000)  2 C 2.16

Summary:
Volume, Å³/cell: 84
Total energy, eV/atom: -3.9747
Formation energy without anion corrections, eV/atom: 1.847
Total magnetic moment, μB/f.u.: 2.141